PBE Cs2NaSb3Pb4, relaxed; DFT total energy = -3.22 eV per atom; theoretical density = 6.3 g cm⁻³; space group = P-4m2, No. 115
1.0
5.423 0.000 0.000
0.000 5.423 0.000
0.000 0.000 13.260
Cs Na Sb Pb
2 1 3 4
direct
0.000 0.500 0.245
0.500 0.000 0.755
0.500 0.500 0.000
0.000 0.000 0.000
0.000 0.500 0.635
0.500 0.000 0.365
0.000 0.000 0.500
0.000 0.500 0.871
0.500 0.000 0.129
0.500 0.500 0.500